# 1
DFT (PBE-GGA) results for a geometry-optimized ScTiC structure.

Cell and atoms, written as extended XYZ:
```
3
Lattice="3.190 0.000 0.000 -1.595 2.762 0.000 0.000 0.000 5.263" Properties=species:S:1:pos:R:3 pbc="T T T"
Sc 0.000 0.000 0.000
Ti 1.595 0.921 2.399
C 0.000 1.842 1.379
```

Space group: P3m1
Total DFT energy (no corrections) in eV per atom: -8.28
Crystal system: trigonal

---

# 2
DFT (PBE-GGA) results for a geometry-optimized LaRuPb3 structure.

Cell and atoms, written as extended XYZ:
```
5
Lattice="6.030 0.000 0.000 0.000 6.030 0.000 0.000 0.000 6.030" Properties=species:S:1:pos:R:3 pbc="T T T"
La 0.000 0.000 0.000
Ru 3.015 3.015 3.015
Pb 0.000 0.000 3.015
Pb 0.000 3.015 0.000
Pb 3.015 0.000 0.000
```

Space group: Pm-3m
Total DFT energy (no corrections) in eV per atom: -3.53
Crystal system: cubic